MnTl2Rh: relaxed, PBE. Values from VASP.

Structure (Quantum ESPRESSO input):
```
&SYSTEM
  ibrav = 0, nat = 4, ntyp = 3
/
ATOMIC_SPECIES
Mn 54.94 Mn.upf
Rh 102.91 Rh.upf
Tl 204.38 Tl.upf
ATOMIC_POSITIONS angstrom
Mn -1.502 2.394 0.685
Rh -0.170 5.432 1.250
Tl 2.644 6.032 1.122
Tl 1.350 3.081 0.573
CELL_PARAMETERS angstrom
-2.379 1.396 -1.902
-1.956 0.354 2.707
2.663 6.075 1.130
```

Summary:
For the energy of formation, the calculation gives 0.322 eV/atom. The value obtained for the spin magnetization is 3.489 μB per formula unit. The energy relative to the lowest polymorph listed for this composition comes out at 0.149 eV per atom.

Hf6Nb2Sn: relaxed, PBE. Values from VASP.

Structure (Quantum ESPRESSO input):
```
&SYSTEM
  ibrav = 0, nat = 18, ntyp = 3
/
ATOMIC_SPECIES
Hf 178.49 Hf.upf
Nb 92.91 Nb.upf
Sn 118.71 Sn.upf
ATOMIC_POSITIONS angstrom
Hf -0.529 2.535 5.528
Hf 2.453 1.493 1.245
Hf -2.547 -0.471 5.528
Hf 4.470 4.499 1.245
Hf 2.438 3.683 3.708
Hf -0.514 0.345 3.065
Hf -3.615 2.427 6.680
Hf 5.539 1.601 0.092
Hf 2.588 0.456 4.311
Hf -0.664 3.572 2.461
Hf -2.618 4.883 4.738
Hf 4.541 -0.855 2.034
Nb 0.288 -0.194 5.809
Nb 1.635 4.222 0.963
Nb 3.424 -2.298 4.260
Nb 1.676 -1.125 2.086
Sn -3.088 2.072 3.600
Sn 0.000 0.000 0.000
CELL_PARAMETERS angstrom
8.099 -0.117 -0.427
-3.176 7.451 0.427
-2.999 -3.306 6.772
```

Summary:
For the energy of formation, the calculation gives 0.112 eV/atom. The value obtained for the spin magnetization is 0.000 μB per formula unit.

Ca2Np2Ni15: relaxed, PBE. Values from VASP.

Structure (Quantum ESPRESSO input):
```
&SYSTEM
  ibrav = 0, nat = 19, ntyp = 3
/
ATOMIC_SPECIES
Ca 40.08 Ca.upf
Np 237.00 Np.upf
Ni 58.69 Ni.upf
ATOMIC_POSITIONS angstrom
Ca 2.901 2.546 2.269
Ca 5.223 4.584 4.085
Np 0.743 0.652 0.581
Np 7.381 6.479 5.773
Ni 3.220 0.004 0.003
Ni 0.421 0.370 3.171
Ni 0.421 3.192 0.003
Ni 0.842 4.626 1.980
Ni 4.696 1.994 0.006
Ni 2.586 0.511 4.368
Ni 2.586 4.398 0.006
Ni 4.696 0.235 1.980
Ni 0.842 2.498 4.368
Ni 2.118 4.694 4.182
Ni 4.929 4.326 1.001
Ni 4.929 1.491 4.182
Ni 6.007 2.437 2.172
Ni 3.196 2.805 5.353
Ni 3.196 5.640 2.172
CELL_PARAMETERS angstrom
6.440 0.007 0.006
0.842 6.384 0.006
0.842 0.739 6.341
```

Summary:
For the energy of formation, the calculation gives -0.101 eV/atom. The value obtained for the spin magnetization is 1.219 μB per formula unit.

ErBeH8Ir2: relaxed, PBE. Values from VASP.

Structure (Quantum ESPRESSO input):
```
&SYSTEM
  ibrav = 0, nat = 12, ntyp = 4
/
ATOMIC_SPECIES
Er 167.26 Er.upf
Be 9.01 Be.upf
H 1.01 H.upf
Ir 192.22 Ir.upf
ATOMIC_POSITIONS angstrom
Er 4.114 2.586 2.884
Be 0.000 0.000 0.000
H 6.171 2.604 3.937
H 4.114 1.719 0.646
H 2.057 2.568 1.831
H 4.114 3.453 5.123
H 3.144 0.480 1.823
H 5.084 4.692 3.945
H 0.970 0.480 1.823
H 7.259 4.692 3.945
Ir 2.057 1.219 0.798
Ir 6.171 3.953 4.970
CELL_PARAMETERS angstrom
4.114 0.000 0.000
2.057 3.807 -0.034
2.057 1.365 5.803
```

Summary:
The value obtained for the total DFT energy (no corrections) is -4.5910 eV per atom. The value obtained for the spin magnetization is 0.000 μB per formula unit.

Zr2HPb: relaxed, PBE. Values from VASP.

Structure (Quantum ESPRESSO input):
```
&SYSTEM
  ibrav = 0, nat = 4, ntyp = 3
/
ATOMIC_SPECIES
Pb 207.20 Pb.upf
H 1.01 H.upf
Zr 91.22 Zr.upf
ATOMIC_POSITIONS angstrom
Pb 1.019 0.777 5.291
H 0.000 0.000 0.000
Zr 0.542 -0.070 2.266
Zr 1.496 1.624 8.316
CELL_PARAMETERS angstrom
-0.624 -2.079 2.458
2.472 -1.268 1.743
0.190 4.900 6.381
```

Summary:
The value obtained for the spin magnetization is 0.000 μB per formula unit. The energy relative to the lowest polymorph listed for this composition comes out at 0.123 eV per atom.

CeZnGe2: relaxed, PBE. Values from VASP.

Structure (Quantum ESPRESSO input):
```
&SYSTEM
  ibrav = 0, nat = 8, ntyp = 3
/
ATOMIC_SPECIES
Ce 140.12 Ce.upf
Zn 65.41 Zn.upf
Ge 72.64 Ge.upf
ATOMIC_POSITIONS angstrom
Ce -0.516 -0.922 1.933
Ce -0.868 -5.682 5.461
Zn -2.041 -3.562 3.213
Zn 0.657 -3.043 4.181
Ge -1.517 -2.710 5.679
Ge 0.133 -3.894 1.715
Ge -0.919 -1.557 -0.988
Ge 1.779 -1.038 -0.020
CELL_PARAMETERS angstrom
-1.838 -3.113 -1.977
3.559 -2.076 -0.040
-3.105 -1.415 9.411
```

Summary:
For the energy of formation, the calculation gives -0.520 eV/atom. The value obtained for the spin magnetization is 0.000 μB per formula unit.

> Among the records above, which one has the highest spin magnetization?

MnTl2Rh

What did the fourth record say?
ErBeH8Ir2: relaxed, PBE. Values from VASP.

Structure (Quantum ESPRESSO input):
```
&SYSTEM
  ibrav = 0, nat = 12, ntyp = 4
/
ATOMIC_SPECIES
Er 167.26 Er.upf
Be 9.01 Be.upf
H 1.01 H.upf
Ir 192.22 Ir.upf
ATOMIC_POSITIONS angstrom
Er 4.114 2.586 2.884
Be 0.000 0.000 0.000
H 6.171 2.604 3.937
H 4.114 1.719 0.646
H 2.057 2.568 1.831
H 4.114 3.453 5.123
H 3.144 0.480 1.823
H 5.084 4.692 3.945
H 0.970 0.480 1.823
H 7.259 4.692 3.945
Ir 2.057 1.219 0.798
Ir 6.171 3.953 4.970
CELL_PARAMETERS angstrom
4.114 0.000 0.000
2.057 3.807 -0.034
2.057 1.365 5.803
```

Summary:
The value obtained for the total DFT energy (no corrections) is -4.5910 eV per atom. The value obtained for the spin magnetization is 0.000 μB per formula unit.